No. 1
Material: SrLa2BiOs
Method: DFT, PBE
State: relaxed

Calculated values
E_form	-0.31	eV/atom
mass density	7.239	g/cm3
magnetic moment	0.000	Bohr magnetons per cell

Cell lengths 5.4546, 5.4546, 5.8952 Å; angles 90.00, 90.00, 90.00 degrees
With the nearest neighbours (Å) after each atom.
Fractional positions:
Os1 0.0000 0.0000 0.0000  4 La 2.73, 2 Sr 2.95
Bi1 0.5000 0.5000 0.5000  4 Sr 3.86, 8 La 4.02
Sr1 0.0000 0.0000 0.5000  2 Os 2.95
La1 0.5000 0.0000 0.0000  2 Os 2.73
La2 0.0000 0.5000 0.0000  2 Os 2.73

No. 2
Material: LaTaBi2Os
Method: DFT, PBE
State: relaxed

Calculated values
E_form	1.37	eV/atom
mass density	9.576	g/cm3
magnetic moment	2.295	Bohr magnetons per cell

Cell lengths 5.3661, 5.5891, 5.3661 Å; angles 90.00, 90.00, 90.00 degrees
With the nearest neighbours (Å) after each atom.
Fractional positions:
Os1 0.5000 0.5000 0.5000  4 La 3.79, 8 Bi 3.87
La1 0.0000 0.5000 0.0000  2 Ta 2.79
Bi1 0.5000 0.0000 0.0000  2 Ta 2.68
Bi2 0.0000 0.0000 0.5000  2 Ta 2.68
Ta1 0.0000 0.0000 0.0000  4 Bi 2.68, 2 La 2.79

No. 3
Material: LaVBiOs2
Method: DFT, PBE
State: relaxed

Calculated values
E_form	1.56	eV/atom
mass density	10.158	g/cm3
magnetic moment	3.073	Bohr magnetons per cell

Cell lengths 5.0544, 4.9867, 5.0544 Å; angles 90.00, 90.00, 90.00 degrees
With the nearest neighbours (Å) after each atom.
Fractional positions:
La1 0.5000 0.5000 0.5000  8 Os 3.55, 4 V 3.57
V1 0.0000 0.5000 0.0000  2 Bi 2.49
Os1 0.0000 0.0000 0.5000  2 Bi 2.53
Os2 0.5000 0.0000 0.0000  2 Bi 2.53
Bi1 0.0000 0.0000 0.0000  2 V 2.49, 4 Os 2.53

No. 4
Material: La2YBiOs
Method: DFT, PBE
State: relaxed

Calculated values
E_form	-0.37	eV/atom
mass density	7.649	g/cm3
magnetic moment	0.000	Bohr magnetons per cell

Cell lengths 5.5018, 5.5018, 5.4931 Å; angles 90.00, 90.00, 90.00 degrees
With the nearest neighbours (Å) after each atom.
Fractional positions:
La1 0.0000 0.5000 0.0000  2 Os 2.75
La2 0.5000 0.0000 0.0000  2 Os 2.75
Bi1 0.5000 0.5000 0.5000  8 La 3.89, 4 Y 3.89
Y1 0.0000 0.0000 0.5000  2 Os 2.75
Os1 0.0000 0.0000 0.0000  2 Y 2.75, 4 La 2.75

No. 5
Material: LaYBi2Os
Method: DFT, PBE
State: relaxed

Calculated values
E_form	0.19	eV/atom
mass density	8.899	g/cm3
magnetic moment	0.000	Bohr magnetons per cell

Cell lengths 5.4898, 5.1761, 5.4898 Å; angles 90.00, 90.00, 90.00 degrees
With the nearest neighbours (Å) after each atom.
Fractional positions:
Os1 0.0000 0.0000 0.0000  2 Y 2.59, 4 Bi 2.74
Bi1 0.0000 0.0000 0.5000  2 Os 2.74
Bi2 0.5000 0.0000 0.0000  2 Os 2.74
Y1 0.0000 0.5000 0.0000  2 Os 2.59
La1 0.5000 0.5000 0.5000  8 Bi 3.77, 4 Y 3.88

No. 6
Material: La2Bi2P
Method: DFT, PBE
State: relaxed

Calculated values
E_form	-0.38	eV/atom
relative energy among the computed polymorphs	388	meV/atom
mass density	6.817	g/cm3
magnetic moment	0.000	Bohr magnetons per cell

Cell lengths 6.2942, 6.2942, 6.3066 Å; angles 60.07, 60.07, 90.00 degrees
With the nearest neighbours (Å) after each atom.
Fractional positions:
Bi1 0.6762 0.6762 0.6477  1 P 2.89, 1 Bi 3.15, 4 La 3.22
Bi2 0.3238 0.3238 0.3523  1 P 2.89, 1 Bi 3.15, 4 La 3.22
P1 0.0000 0.0000 0.0000  2 Bi 2.89
La1 0.7500 0.2500 0.5000  4 Bi 3.22
La2 0.2500 0.7500 0.5000  4 Bi 3.22

No. 7
Material: La2BiP2
Method: DFT, PBE
State: relaxed

Calculated values
E_form	-0.89	eV/atom
relative energy among the computed polymorphs	169	meV/atom
mass density	6.686	g/cm3
magnetic moment	0.000	Bohr magnetons per cell

Cell lengths 4.0400, 4.0400, 8.8250 Å; angles 76.77, 76.77, 90.00 degrees
With the nearest neighbours (Å) after each atom.
Fractional positions:
La1 0.3808 0.3808 0.2384  4 P 2.97
La2 0.6192 0.6192 0.7616  4 P 2.97
P1 0.7500 0.2500 0.5000  4 P 2.86, 4 La 2.97
P2 0.2500 0.7500 0.5000  4 P 2.86, 4 La 2.97
Bi1 0.0000 0.0000 0.0000  8 La 3.48

No. 8
Material: La7BiP5
Method: DFT, PBE
State: relaxed

Calculated values
E_form	-1.42	eV/atom
mass density	5.707	g/cm3
magnetic moment	1.846	Bohr magnetons per cell

Cell lengths 4.3240, 7.3713, 25.5204 Å; angles 89.98, 90.00, 107.06 degrees
With the nearest neighbours (Å) after each atom.
Fractional positions:
La1 0.3642 0.7283 0.5341  6 P 3.00-3.06
La2 0.0908 0.1816 0.8967  5 P 2.93-3.05
La3 0.1760 0.3520 0.1700  3 P 2.85-2.93
La4 0.1761 0.3522 0.3300  3 P 2.85-2.93
La5 0.6362 0.2725 0.4658  6 P 3.00-3.06
La6 0.3644 0.7286 0.9659  6 P 3.00-3.06
La7 0.0905 0.1811 0.6033  5 P 2.93-3.04
La8 0.8246 0.6494 0.8300  3 P 2.85-2.93
La9 0.4734 0.9466 0.2500  2 P 2.92
La10 0.9099 0.8196 0.1034  5 P 2.93-3.05
La11 0.6362 0.2726 0.0342  6 P 3.00-3.06
La12 0.5273 0.0547 0.7499  2 P 2.92
La13 0.9099 0.8197 0.3967  5 P 2.93-3.05
La14 0.8244 0.6489 0.6700  3 P 2.85-2.93
P1 0.5443 0.0887 0.3573  6 La 2.92-3.06
P2 0.2730 0.5461 0.4279  6 La 2.85-3.05
P3 0.0002 0.0004 0.5000  6 La 2.93-3.02
P4 0.4564 0.9129 0.8573  6 La 2.92-3.06
P5 0.7276 0.4552 0.9279  6 La 2.85-3.05
P6 0.0003 0.0006 0.0000  6 La 2.93-3.02
P7 0.4562 0.9124 0.6426  6 La 2.92-3.06
P8 0.7274 0.4547 0.5721  6 La 2.85-3.05
P9 0.5442 0.0885 0.1427  6 La 2.92-3.06
P10 0.2730 0.5461 0.0721  6 La 2.85-3.05
Bi1 0.7977 0.5956 0.2500  6 La 3.28-3.43
Bi2 0.2030 0.4058 0.7500  6 La 3.29-3.43

No. 9
Material: LaBi3P
Method: DFT, PBE
State: relaxed

Calculated values
E_form	-0.01	eV/atom
relative energy among the computed polymorphs	0	meV/atom
mass density	8.187	g/cm3
magnetic moment	0.000	Bohr magnetons per cell

Cell lengths 5.4470, 5.4470, 5.4470 Å; angles 90.00, 90.00, 90.00 degrees
With the nearest neighbours (Å) after each atom.
Fractional positions:
P1 0.0000 0.0000 0.0000  6 Bi 2.72
Bi1 0.5000 0.0000 0.0000  2 P 2.72
Bi2 0.0000 0.5000 0.0000  2 P 2.72
Bi3 0.0000 0.0000 0.5000  2 P 2.72
La1 0.5000 0.5000 0.5000  12 Bi 3.85

No. 10
Material: La2Bi2P
Method: DFT, PBE
State: relaxed

Calculated values
E_form	-0.77	eV/atom
relative energy among the computed polymorphs	0	meV/atom
mass density	7.465	g/cm3
magnetic moment	0.000	Bohr magnetons per cell

Cell lengths 8.0057, 8.0057, 5.0447 Å; angles 90.00, 90.00, 90.00 degrees
With the nearest neighbours (Å) after each atom.
Fractional positions:
P1 0.0000 0.0000 0.0000  4 La 2.94
P2 0.5000 0.5000 0.0000  4 La 2.94
Bi1 0.8683 0.3683 0.5000  1 Bi 2.98, 2 La 3.31
Bi2 0.1317 0.6317 0.5000  1 Bi 2.98, 2 La 3.31
Bi3 0.6317 0.8683 0.5000  1 Bi 2.98, 2 La 3.31
Bi4 0.3683 0.1317 0.5000  1 Bi 2.98, 2 La 3.31
La1 0.3207 0.8207 0.0000  2 P 2.94
La2 0.6793 0.1793 0.0000  2 P 2.94
La3 0.1793 0.3207 0.0000  2 P 2.94
La4 0.8207 0.6793 0.0000  2 P 2.94

No. 11
Material: La2Bi2P
Method: DFT, PBE
State: relaxed

Calculated values
E_form	-0.62	eV/atom
relative energy among the computed polymorphs	149	meV/atom
mass density	7.628	g/cm3
magnetic moment	0.000	Bohr magnetons per cell

Cell lengths 4.3070, 4.3070, 9.0559 Å; angles 76.24, 76.24, 90.00 degrees
With the nearest neighbours (Å) after each atom.
Fractional positions:
La1 0.5955 0.5955 0.8089  1 La 3.26, 4 Bi 3.40, 4 P 3.45
La2 0.4045 0.4045 0.1911  1 La 3.26, 4 Bi 3.40, 4 P 3.45
P1 0.0000 0.0000 0.0000  8 La 3.45
Bi1 0.2500 0.7500 0.5000  4 Bi 3.05, 4 La 3.40
Bi2 0.7500 0.2500 0.5000  4 Bi 3.05, 4 La 3.40

No. 12
Material: La2BiP2
Method: DFT, PBE
State: relaxed

Calculated values
E_form	-1.06	eV/atom
relative energy among the computed polymorphs	0	meV/atom
mass density	7.004	g/cm3
magnetic moment	0.000	Bohr magnetons per cell

Cell lengths 8.0359, 8.0359, 4.0291 Å; angles 90.00, 90.00, 90.00 degrees
With the nearest neighbours (Å) after each atom.
Fractional positions:
Bi1 0.5000 0.5000 0.0000  4 P 3.05
Bi2 0.0000 0.0000 0.0000  4 P 3.05
La1 0.6554 0.8446 0.5000  6 P 2.96-3.20
La2 0.8446 0.3446 0.5000  6 P 2.96-3.20
La3 0.1554 0.6554 0.5000  6 P 2.96-3.20
La4 0.3446 0.1554 0.5000  6 P 2.96-3.20
P1 0.1535 0.3465 0.0000  6 La 2.96-3.20, 2 Bi 3.05
P2 0.3465 0.8465 0.0000  6 La 2.96-3.20, 2 Bi 3.05
P3 0.8465 0.6535 0.0000  6 La 2.96-3.20, 2 Bi 3.05
P4 0.6535 0.1535 0.0000  6 La 2.96-3.20, 2 Bi 3.05